{
  "formula": "AsPt",
  "functional": "PBE",
  "state": "relaxed",
  "dos_ef_per_ev_cell": 1.88,
  "formation_energy_mev_per_atom": -62,
  "e_tot_ev_per_atom": -5.407,
  "space_group": "P-6m2, No. 187",
  "cell": [[-2.0659, 2.9607, 1.3608], [-0.2757, -3.4705, 1.6629], [2.1889, 0.6945, 1.8123]],
  "species": ["Pt", "As"],
  "frac_coords": [[0.6667, 0.3333, 0.5000], [0.0000, 0.0000, 0.0000]]
}

=====

{
  "formula": "As3Pt",
  "functional": "PBE",
  "state": "relaxed",
  "de_polymorph_kcal_per_mol_atoms": 1.02,
  "dos_ef_per_ev_cell": 0.88,
  "formation_energy_mev_per_atom": -39,
  "e_tot_ev_per_atom": -5.036,
  "space_group": "Imm2, No. 44",
  "cell": [[-1.4458, -5.3250, 1.2937], [3.3936, -3.9273, -2.2757], [0.1715, 4.5631, 3.3567]],
  "species": ["As", "As", "As", "Pt"],
  "frac_coords": [[0.6508, 0.6447, 0.0062], [0.0753, 0.5000, 0.5753], [0.3615, 0.3553, 0.0062], [0.7457, 0.0000, 0.7457]]
}

=====

{
  "formula": "AsPt",
  "functional": "PBE",
  "state": "relaxed",
  "dos_ef_per_ev_cell": 2.31,
  "formation_energy_mev_per_atom": -194,
  "e_tot_ev_per_atom": -5.539,
  "space_group": "Cmcm, No. 63",
  "cell": [[-4.5529, -3.1558, 0.4116], [5.1055, -0.0135, -2.1889], [1.3064, -1.4862, 3.0563]],
  "species": ["Pt", "Pt", "As", "As"],
  "frac_coords": [[0.3939, 0.6061, 0.2500], [0.6061, 0.3939, 0.7500], [0.8479, 0.1521, 0.7500], [0.1521, 0.8479, 0.2500]]
}